Compound: AcLa2Mg2In2
Source: Alexandria
Functional: PBE
Structure: optimized geometry

Values from the calculation:
Total magnetization in Bohr magnetons per cell: 0.0
Energy of formation in eV/atom: -0.278

The structure in POSCAR format:
```
AcLa2Mg2In2
1.0
2.546 1.470 9.613
-2.546 1.470 9.613
0.000 -2.939 9.613
Ac La Mg In
1 2 2 2
direct
0.000 0.000 0.000
0.134 0.134 0.134
0.866 0.866 0.866
0.411 0.411 0.411
0.589 0.589 0.589
0.260 0.260 0.260
0.740 0.740 0.740
```